[1]
# ZrTeOs3 | Alexandria | GGA-PBE | optimized geometry
# **Uncorrected formation energy**: 2.362 eV per atom
# **Polymorph energy (0 for the lowest one)**: 254 kJ/mol of formula units
data_ZrTeOs3
_cell_length_a 4.8657
_cell_length_b 4.8657
_cell_length_c 4.8657
_cell_angle_alpha 90.00
_cell_angle_beta 90.00
_cell_angle_gamma 90.00
_symmetry_space_group_name_H-M 'P 1'
_symmetry_Int_Tables_number 1
loop_
_symmetry_equiv_pos_as_xyz
'x,y,z'
loop_
_atom_site_label
_atom_site_type_symbol
_atom_site_fract_x
_atom_site_fract_y
_atom_site_fract_z
Os1 Os 0.0000 0.0000 0.5000
Os2 Os 0.0000 0.5000 0.0000
Os3 Os 0.5000 0.0000 0.0000
Te1 Te 0.5000 0.5000 0.5000
Zr1 Zr 0.0000 0.0000 0.0000

[2]
# InCuSn | Alexandria | GGA-PBE | optimized geometry
# **DFT formation energy**: 11 kJ per mole of atoms
data_InCuSn
_cell_length_a 3.1453
_cell_length_b 3.1453
_cell_length_c 6.9402
_cell_angle_alpha 103.10
_cell_angle_beta 103.10
_cell_angle_gamma 90.00
_symmetry_space_group_name_H-M 'P 1'
_symmetry_Int_Tables_number 1
loop_
_symmetry_equiv_pos_as_xyz
'x,y,z'
loop_
_atom_site_label
_atom_site_type_symbol
_atom_site_fract_x
_atom_site_fract_y
_atom_site_fract_z
Cu1 Cu 0.6663 0.6663 0.3325
In1 In 0.0267 0.0267 0.0534
Sn1 Sn 0.3070 0.3070 0.6141

[3]
# NaTbGdIn | Alexandria | GGA-PBE | optimized geometry
# **DFT formation energy**: -14 kJ per mole of atoms
data_NaTbGdIn
_cell_length_a 5.4235
_cell_length_b 5.4235
_cell_length_c 5.4235
_cell_angle_alpha 60.00
_cell_angle_beta 60.00
_cell_angle_gamma 60.00
_symmetry_space_group_name_H-M 'P 1'
_symmetry_Int_Tables_number 1
loop_
_symmetry_equiv_pos_as_xyz
'x,y,z'
loop_
_atom_site_label
_atom_site_type_symbol
_atom_site_fract_x
_atom_site_fract_y
_atom_site_fract_z
Tb1 Tb 0.2500 0.2500 0.2500
In1 In 0.5000 0.5000 0.5000
Gd1 Gd 0.7500 0.7500 0.7500
Na1 Na 0.0000 0.0000 0.0000

[4]
# Li15Cd4Pb | Alexandria | GGA-PBE | optimized geometry
# **DFT formation energy**: -19 kJ per mole of atoms
data_Li15Cd4Pb
_cell_length_a 4.5043
_cell_length_b 4.5043
_cell_length_c 18.3535
_cell_angle_alpha 90.00
_cell_angle_beta 90.00
_cell_angle_gamma 90.00
_symmetry_space_group_name_H-M 'P 1'
_symmetry_Int_Tables_number 1
loop_
_symmetry_equiv_pos_as_xyz
'x,y,z'
loop_
_atom_site_label
_atom_site_type_symbol
_atom_site_fract_x
_atom_site_fract_y
_atom_site_fract_z
Cd1 Cd 0.0000 0.0000 0.8004
Cd2 Cd 0.0000 0.0000 0.1996
Cd3 Cd 0.0000 0.0000 0.6005
Cd4 Cd 0.0000 0.0000 0.3995
Li1 Li 0.0000 0.5000 0.5000
Li2 Li 0.5000 0.0000 0.0985
Li3 Li 0.5000 0.0000 0.5000
Li4 Li 0.5000 0.5000 0.8015
Li5 Li 0.5000 0.5000 0.1985
Li6 Li 0.5000 0.5000 0.0000
Li7 Li 0.5000 0.0000 0.2989
Li8 Li 0.0000 0.5000 0.0985
Li9 Li 0.5000 0.0000 0.7011
Li10 Li 0.5000 0.5000 0.6008
Li11 Li 0.5000 0.5000 0.3992
Li12 Li 0.0000 0.5000 0.7011
Li13 Li 0.0000 0.5000 0.9015
Li14 Li 0.5000 0.0000 0.9015
Li15 Li 0.0000 0.5000 0.2989
Pb1 Pb 0.0000 0.0000 0.0000

[5]
# NdPuTl3 | Alexandria | GGA-PBE | optimized geometry
# **DFT formation energy**: 1 kJ per mole of atoms
data_NdPuTl3
_cell_length_a 5.9346
_cell_length_b 7.7586
_cell_length_c 7.7586
_cell_angle_alpha 120.00
_cell_angle_beta 90.00
_cell_angle_gamma 90.00
_symmetry_space_group_name_H-M 'P 1'
_symmetry_Int_Tables_number 1
loop_
_symmetry_equiv_pos_as_xyz
'x,y,z'
loop_
_atom_site_label
_atom_site_type_symbol
_atom_site_fract_x
_atom_site_fract_y
_atom_site_fract_z
Tl1 Tl 0.7500 0.5969 0.7983
Tl2 Tl 0.7500 0.2017 0.4031
Tl3 Tl 0.7500 0.2016 0.7984
Tl4 Tl 0.2500 0.7984 0.2016
Tl5 Tl 0.2500 0.7983 0.5969
Tl6 Tl 0.2500 0.4031 0.2017
Pu1 Pu 0.0000 0.0000 0.0000
Pu2 Pu 0.5000 0.0000 0.0000
Nd1 Nd 0.2500 0.3335 0.6665
Nd2 Nd 0.7500 0.6665 0.3335

[6]
# KNd2CuO4 | Alexandria | GGA-PBE | optimized geometry
# **Uncorrected formation energy**: -2.349 eV per atom
data_KNd2CuO4
_cell_length_a 3.6046
_cell_length_b 6.3106
_cell_length_c 12.1238
_cell_angle_alpha 90.00
_cell_angle_beta 90.00
_cell_angle_gamma 106.59
_symmetry_space_group_name_H-M 'P 1'
_symmetry_Int_Tables_number 1
loop_
_symmetry_equiv_pos_as_xyz
'x,y,z'
loop_
_atom_site_label
_atom_site_type_symbol
_atom_site_fract_x
_atom_site_fract_y
_atom_site_fract_z
Nd1 Nd 0.6319 0.2638 0.0612
Nd2 Nd 0.3681 0.7362 0.5612
Nd3 Nd 0.3681 0.7362 0.9388
Nd4 Nd 0.6319 0.2638 0.4388
O1 O 0.0000 0.0000 0.5000
O2 O 0.7453 0.4906 0.6012
O3 O 0.2547 0.5094 0.3988
O4 O 0.5789 0.1578 0.2500
O5 O 0.0000 0.0000 0.0000
O6 O 0.2547 0.5094 0.1012
O7 O 0.4211 0.8422 0.7500
O8 O 0.7453 0.4906 0.8988
K1 K 0.0966 0.1933 0.7500
K2 K 0.9034 0.8067 0.2500
Cu1 Cu 0.8204 0.6408 0.7500
Cu2 Cu 0.1796 0.3592 0.2500

[7]
# Ho2Co15Cu2 | Alexandria | GGA-PBE | optimized geometry
# **DFT formation energy**: -7 kJ per mole of atoms
data_Ho2Co15Cu2
_cell_length_a 6.2672
_cell_length_b 6.2672
_cell_length_c 6.2672
_cell_angle_alpha 83.52
_cell_angle_beta 83.52
_cell_angle_gamma 83.52
_symmetry_space_group_name_H-M 'P 1'
_symmetry_Int_Tables_number 1
loop_
_symmetry_equiv_pos_as_xyz
'x,y,z'
loop_
_atom_site_label
_atom_site_type_symbol
_atom_site_fract_x
_atom_site_fract_y
_atom_site_fract_z
Co1 Co 0.5000 0.0000 0.0000
Co2 Co 0.7112 0.0000 0.2888
Co3 Co 0.2888 0.0000 0.7112
Co4 Co 0.0000 0.7112 0.2888
Co5 Co 0.0000 0.0000 0.5000
Co6 Co 0.1540 0.6507 0.6507
Co7 Co 0.0000 0.2888 0.7112
Co8 Co 0.2888 0.7112 0.0000
Co9 Co 0.6507 0.6507 0.1540
Co10 Co 0.7112 0.2888 0.0000
Co11 Co 0.8460 0.3493 0.3493
Co12 Co 0.3493 0.8460 0.3493
Co13 Co 0.3493 0.3493 0.8460
Co14 Co 0.0000 0.5000 0.0000
Co15 Co 0.6507 0.1540 0.6507
Cu1 Cu 0.1016 0.1016 0.1016
Cu2 Cu 0.8984 0.8984 0.8984
Ho1 Ho 0.3436 0.3436 0.3436
Ho2 Ho 0.6564 0.6564 0.6564

[8]
# Pm3Ga2Ir3 | Alexandria | GGA-PBE | optimized geometry
# **DFT formation energy**: -70 kJ per mole of atoms
data_Pm3Ga2Ir3
_cell_length_a 4.1615
_cell_length_b 6.1241
_cell_length_c 14.3350
_cell_angle_alpha 90.00
_cell_angle_beta 90.00
_cell_angle_gamma 109.86
_symmetry_space_group_name_H-M 'P 1'
_symmetry_Int_Tables_number 1
loop_
_symmetry_equiv_pos_as_xyz
'x,y,z'
loop_
_atom_site_label
_atom_site_type_symbol
_atom_site_fract_x
_atom_site_fract_y
_atom_site_fract_z
Ir1 Ir 0.3286 0.6572 0.2500
Ir2 Ir 0.6056 0.2111 0.4594
Ir3 Ir 0.3944 0.7889 0.9594
Ir4 Ir 0.6714 0.3428 0.7500
Ir5 Ir 0.3944 0.7889 0.5406
Ir6 Ir 0.6056 0.2111 0.0406
Ga1 Ga 0.2217 0.4435 0.0850
Ga2 Ga 0.7783 0.5565 0.5850
Ga3 Ga 0.7783 0.5565 0.9150
Ga4 Ga 0.2217 0.4435 0.4150
Pm1 Pm 0.9230 0.8459 0.1119
Pm2 Pm 0.0770 0.1541 0.8881
Pm3 Pm 0.6496 0.2993 0.2500
Pm4 Pm 0.0770 0.1541 0.6119
Pm5 Pm 0.9230 0.8459 0.3881
Pm6 Pm 0.3504 0.7007 0.7500

[9]
# Pr2AlSi3Ni4 | Alexandria | GGA-PBE | optimized geometry
# **Uncorrected formation energy**: -0.752 eV per atom
data_Pr2AlSi3Ni4
_cell_length_a 4.0852
_cell_length_b 4.0852
_cell_length_c 9.7172
_cell_angle_alpha 90.00
_cell_angle_beta 90.00
_cell_angle_gamma 90.00
_symmetry_space_group_name_H-M 'P 1'
_symmetry_Int_Tables_number 1
loop_
_symmetry_equiv_pos_as_xyz
'x,y,z'
loop_
_atom_site_label
_atom_site_type_symbol
_atom_site_fract_x
_atom_site_fract_y
_atom_site_fract_z
Pr1 Pr 0.0000 0.5000 0.7541
Pr2 Pr 0.5000 0.0000 0.2459
Ni1 Ni 0.0000 0.5000 0.3669
Ni2 Ni 0.5000 0.0000 0.6331
Ni3 Ni 0.5000 0.5000 0.0000
Ni4 Ni 0.0000 0.0000 0.0000
Si1 Si 0.5000 0.0000 0.8776
Si2 Si 0.0000 0.0000 0.5000
Si3 Si 0.0000 0.5000 0.1224
Al1 Al 0.5000 0.5000 0.5000

[10]
# SrBi2S4 | Alexandria | GGA-PBE | optimized geometry
# **Uncorrected formation energy**: -0.864 eV per atom
# **Polymorph energy (0 for the lowest one)**: 8 kJ/mol of formula units
data_SrBi2S4
_cell_length_a 4.0577
_cell_length_b 7.0089
_cell_length_c 13.7723
_cell_angle_alpha 90.00
_cell_angle_beta 90.00
_cell_angle_gamma 106.83
_symmetry_space_group_name_H-M 'P 1'
_symmetry_Int_Tables_number 1
loop_
_symmetry_equiv_pos_as_xyz
'x,y,z'
loop_
_atom_site_label
_atom_site_type_symbol
_atom_site_fract_x
_atom_site_fract_y
_atom_site_fract_z
S1 S 0.9564 0.9128 0.7500
S2 S 0.7716 0.5433 0.1174
S3 S 0.5000 0.0000 0.5000
S4 S 0.7716 0.5433 0.3826
S5 S 0.5000 0.0000 0.0000
S6 S 0.2284 0.4567 0.8826
S7 S 0.0436 0.0872 0.2500
S8 S 0.2284 0.4567 0.6174
Sr1 Sr 0.3864 0.7727 0.2500
Sr2 Sr 0.6136 0.2273 0.7500
Bi1 Bi 0.8664 0.7328 0.9282
Bi2 Bi 0.1336 0.2672 0.0718
Bi3 Bi 0.8664 0.7328 0.5718
Bi4 Bi 0.1336 0.2672 0.4282

[11]
# MgSi5Ru6 | Alexandria | GGA-PBE | optimized geometry
# **Uncorrected formation energy**: -0.607 eV per atom
data_MgSi5Ru6
_cell_length_a 4.1811
_cell_length_b 5.9438
_cell_length_c 7.2054
_cell_angle_alpha 114.36
_cell_angle_beta 106.81
_cell_angle_gamma 90.00
_symmetry_space_group_name_H-M 'P 1'
_symmetry_Int_Tables_number 1
loop_
_symmetry_equiv_pos_as_xyz
'x,y,z'
loop_
_atom_site_label
_atom_site_type_symbol
_atom_site_fract_x
_atom_site_fract_y
_atom_site_fract_z
Ru1 Ru 0.1725 0.4316 0.3448
Ru2 Ru 0.8275 0.5684 0.6552
Ru3 Ru 0.8275 0.0868 0.6552
Ru4 Ru 0.5000 0.2639 0.0000
Ru5 Ru 0.5000 0.7361 0.0000
Ru6 Ru 0.1725 0.9132 0.3448
Mg1 Mg 0.0000 0.0000 0.0000
Si1 Si 0.6605 0.1604 0.3209
Si2 Si 0.6690 0.6687 0.3373
Si3 Si 0.3395 0.8396 0.6791
Si4 Si 0.3310 0.3313 0.6627
Si5 Si 0.0000 0.5000 0.0000

[12]
# Ac2Sm2Ag | Alexandria | GGA-PBE | optimized geometry
# **DFT formation energy**: -7 kJ per mole of atoms
data_Ac2Sm2Ag
_cell_length_a 3.8578
_cell_length_b 3.8578
_cell_length_c 12.1533
_cell_angle_alpha 99.13
_cell_angle_beta 99.13
_cell_angle_gamma 90.00
_symmetry_space_group_name_H-M 'P 1'
_symmetry_Int_Tables_number 1
loop_
_symmetry_equiv_pos_as_xyz
'x,y,z'
loop_
_atom_site_label
_atom_site_type_symbol
_atom_site_fract_x
_atom_site_fract_y
_atom_site_fract_z
Sm1 Sm 0.7989 0.7989 0.5978
Sm2 Sm 0.2011 0.2011 0.4022
Ac1 Ac 0.4129 0.4129 0.8258
Ac2 Ac 0.5871 0.5871 0.1742
Ag1 Ag 0.0000 0.0000 0.0000

[13]
# ScTeIrI2 | Alexandria | GGA-PBE | optimized geometry
# **Uncorrected formation energy**: 0.284 eV per atom
# **Polymorph energy (0 for the lowest one)**: 0 kJ/mol of formula units
data_ScTeIrI2
_cell_length_a 5.3194
_cell_length_b 5.3194
_cell_length_c 5.3693
_cell_angle_alpha 90.00
_cell_angle_beta 90.00
_cell_angle_gamma 90.00
_symmetry_space_group_name_H-M 'P 1'
_symmetry_Int_Tables_number 1
loop_
_symmetry_equiv_pos_as_xyz
'x,y,z'
loop_
_atom_site_label
_atom_site_type_symbol
_atom_site_fract_x
_atom_site_fract_y
_atom_site_fract_z
Sc1 Sc 0.5000 0.5000 0.5000
Te1 Te 0.0000 0.0000 0.5000
I1 I 0.5000 0.0000 0.0000
I2 I 0.0000 0.5000 0.0000
Ir1 Ir 0.0000 0.0000 0.0000

[14]
# Ca2TlPF | Alexandria | GGA-PBE | optimized geometry
# **Uncorrected formation energy**: -0.754 eV per atom
data_Ca2TlPF
_cell_length_a 5.6489
_cell_length_b 4.2112
_cell_length_c 5.6489
_cell_angle_alpha 90.00
_cell_angle_beta 90.00
_cell_angle_gamma 90.00
_symmetry_space_group_name_H-M 'P 1'
_symmetry_Int_Tables_number 1
loop_
_symmetry_equiv_pos_as_xyz
'x,y,z'
loop_
_atom_site_label
_atom_site_type_symbol
_atom_site_fract_x
_atom_site_fract_y
_atom_site_fract_z
Ca1 Ca 0.0000 0.0000 0.5000
Ca2 Ca 0.5000 0.0000 0.0000
F1 F 0.0000 0.5000 0.0000
Tl1 Tl 0.5000 0.5000 0.5000
P1 P 0.0000 0.0000 0.0000

[15]
# NaLi4Tl3 | Alexandria | GGA-PBE | optimized geometry
# **DFT formation energy**: -19 kJ per mole of atoms
data_NaLi4Tl3
_cell_length_a 4.9135
_cell_length_b 4.9133
_cell_length_c 7.8503
_cell_angle_alpha 108.06
_cell_angle_beta 108.24
_cell_angle_gamma 90.00
_symmetry_space_group_name_H-M 'P 1'
_symmetry_Int_Tables_number 1
loop_
_symmetry_equiv_pos_as_xyz
'x,y,z'
loop_
_atom_site_label
_atom_site_type_symbol
_atom_site_fract_x
_atom_site_fract_y
_atom_site_fract_z
Li1 Li 0.1290 0.1291 0.2581
Li2 Li 0.3710 0.3717 0.7419
Li3 Li 0.6290 0.6283 0.2581
Li4 Li 0.8710 0.8709 0.7419
Tl1 Tl 0.7489 0.2478 0.4979
Tl2 Tl 0.2511 0.7522 0.5021
Tl3 Tl 0.0000 0.5000 0.0000
Na1 Na 0.5000 0.0000 0.0000